Ti2MnFeO6 | SCAN | single point on PBEsol structure Values from VASP.

The structure in Quantum ESPRESSO input format:
```
&SYSTEM
  ibrav = 0, nat = 10, ntyp = 4
/
ATOMIC_SPECIES
Ti 47.87 Ti.upf
Mn 54.94 Mn.upf
Fe 55.84 Fe.upf
O 16.00 O.upf
CELL_PARAMETERS angstrom
-0.8649 0.4329 4.9803
-3.8911 -0.5207 -3.2140
2.1242 -4.7175 -1.8049
ATOMIC_POSITIONS crystal
Ti 0.2944 0.1472 0.4416
Ti 0.7048 0.8523 0.5572
Mn 0.2847 0.6424 0.9271
Fe 0.7099 0.3549 0.0648
O 0.7854 0.2241 0.7413
O 0.5172 0.5614 0.7413
O 0.1800 0.9559 0.7412
O 0.2036 0.7643 0.2618
O 0.4976 0.4392 0.2619
O 0.8226 0.0583 0.2619
```

Fermi-level density of states = 0.11 states/eV per atom
uncorrected formation energy = -2693 meV/atom
raw total energy = -13.277 eV per atom